(1)
Crystalline MgGaSb2Te at its relaxed geometry, computed with PBE.

a = 5.383 Å, b = 5.383 Å, c = 5.635 Å
α = 90.00°, β = 90.00°, γ = 90.00°
Fractional positions:
Mg (0.000, 0.000, 0.000)
Ga (0.500, 0.500, 0.500)
Sb (0.000, 0.500, 0.000)
Sb (0.500, 0.000, 0.000)
Te (0.000, 0.000, 0.500)

Properties
- Energy above the most stable polymorph in this dataset: 0.00 eV/f.u.
- Spin magnetization: 0.00 μB/atom
- ΔE_f (raw): 2.1 eV/f.u.
- V: 163.32 Å³/cell

(2)
Crystalline MgGaSb2Te at its relaxed geometry, computed with PBE.

a = 5.327 Å, b = 5.327 Å, c = 5.436 Å
α = 90.00°, β = 90.00°, γ = 90.00°
Fractional positions:
Mg (0.000, 0.000, 0.000)
Ga (0.500, 0.500, 0.500)
Sb (0.000, 0.500, 0.500)
Sb (0.500, 0.000, 0.500)
Te (0.500, 0.500, 0.000)

Properties
- Energy above the most stable polymorph in this dataset: 0.11 eV/f.u.
- Spin magnetization: 0.00 μB/atom
- ΔE_f (raw): 2.2 eV/f.u.
- V: 154.25 Å³/cell

(3)
Crystalline MgTl2GaSb2 at its relaxed geometry, computed with PBE.

a = 9.385 Å, b = 9.385 Å, c = 9.385 Å
α = 139.11°, β = 59.30°, γ = 138.99°
Fractional positions:
Mg (0.250, 0.250, 0.000)
Mg (0.750, 0.750, 0.000)
Tl (0.183, 0.243, 0.426)
Tl (0.317, 0.743, 0.060)
Tl (0.683, 0.257, 0.940)
Tl (0.817, 0.757, 0.574)
Ga (0.250, 0.750, 0.500)
Ga (0.750, 0.250, 0.500)
Sb (0.107, 0.737, 0.844)
Sb (0.393, 0.237, 0.630)
Sb (0.607, 0.763, 0.370)
Sb (0.893, 0.263, 0.156)

Properties
- Spin magnetization: 0.00 μB/atom
- ΔE_f (raw): -0.7 eV/f.u.
- V: 351.63 Å³/cell

(4)
Crystalline MgScGa at its relaxed geometry, computed with PBE.

a = 4.608 Å, b = 4.608 Å, c = 3.278 Å
α = 90.00°, β = 90.00°, γ = 120.00°
Fractional positions:
Mg (0.000, 0.000, 0.000)
Sc (0.667, 0.333, 0.500)
Ga (0.333, 0.667, 0.998)

Properties
- Formation energy from the elements: -326 meV/atom
- Spin magnetization: 0.00 μB/atom
- V: 60.28 Å³/cell

Question: Which value of spin magnetization does entry 1 give?
Answer: 0.00 μB/atom

What did the second record say?
Crystalline MgGaSb2Te at its relaxed geometry, computed with PBE.

a = 5.327 Å, b = 5.327 Å, c = 5.436 Å
α = 90.00°, β = 90.00°, γ = 90.00°
Fractional positions:
Mg (0.000, 0.000, 0.000)
Ga (0.500, 0.500, 0.500)
Sb (0.000, 0.500, 0.500)
Sb (0.500, 0.000, 0.500)
Te (0.500, 0.500, 0.000)

Properties
- Energy above the most stable polymorph in this dataset: 0.11 eV/f.u.
- Spin magnetization: 0.00 μB/atom
- ΔE_f (raw): 2.2 eV/f.u.
- V: 154.25 Å³/cell

Question: Look up the V of the first one.
Answer: 163.32 Å³/cell

Copy entry 2 word for word.
Crystalline MgGaSb2Te at its relaxed geometry, computed with PBE.

a = 5.327 Å, b = 5.327 Å, c = 5.436 Å
α = 90.00°, β = 90.00°, γ = 90.00°
Fractional positions:
Mg (0.000, 0.000, 0.000)
Ga (0.500, 0.500, 0.500)
Sb (0.000, 0.500, 0.500)
Sb (0.500, 0.000, 0.500)
Te (0.500, 0.500, 0.000)

Properties
- Energy above the most stable polymorph in this dataset: 0.11 eV/f.u.
- Spin magnetization: 0.00 μB/atom
- ΔE_f (raw): 2.2 eV/f.u.
- V: 154.25 Å³/cell